1.
# ZnIn2Se4 | Alexandria | GGA-PBEsol | optimized geometry
# E_tot	-53.8	eV per cell
# calculated density	5497	kg/m³
data_ZnIn2Se4
_chemical_formula_sum 'Zn2 In4 Se8'
_symmetry_space_group_name_H-M 'P 1'
_symmetry_Int_Tables_number 1
_symmetry_space_group_name_Hall 'P 1'
_cell_length_a 5.6680
_cell_length_b 5.6680
_cell_length_c 11.4879
_cell_angle_alpha 90.00
_cell_angle_beta 90.00
_cell_angle_gamma 90.00
loop_
_atom_site_label
_atom_site_type_symbol
_atom_site_fract_x
_atom_site_fract_y
_atom_site_fract_z
Zn1 Zn 0.0000 0.0000 0.0000
Zn2 Zn 0.5000 0.5000 0.5000
In1 In 0.0000 0.0000 0.5000
In2 In 0.0000 0.5000 0.7500
In3 In 0.5000 0.0000 0.2500
In4 In 0.5000 0.5000 0.0000
Se1 Se 0.2106 0.2671 0.1330
Se2 Se 0.2329 0.7106 0.3670
Se3 Se 0.2671 0.7894 0.8670
Se4 Se 0.2894 0.2329 0.6330
Se5 Se 0.7106 0.7671 0.6330
Se6 Se 0.7329 0.2106 0.8670
Se7 Se 0.7671 0.2894 0.3670
Se8 Se 0.7894 0.7329 0.1330

***

2.
# Zr2InSe | Alexandria | GGA-PBEsol | optimized geometry
# excess energy over the best structure of this formula in the dataset	155.8	meV/atom
# E_tot	-27.5	eV per cell
# calculated density	6879	kg/m³
data_Zr2InSe
_chemical_formula_sum 'Zr2 In1 Se1'
_symmetry_space_group_name_H-M 'P 1'
_symmetry_Int_Tables_number 1
_symmetry_space_group_name_Hall 'P 1'
_cell_length_a 3.5404
_cell_length_b 3.5404
_cell_length_c 7.2454
_cell_angle_alpha 90.00
_cell_angle_beta 90.00
_cell_angle_gamma 90.00
loop_
_atom_site_label
_atom_site_type_symbol
_atom_site_fract_x
_atom_site_fract_y
_atom_site_fract_z
Zr1 Zr 0.0000 0.0000 0.0000
Zr2 Zr 0.5000 0.5000 0.2622
In1 In 0.0000 0.0000 0.4956
Se1 Se 0.5000 0.5000 0.8645

***

Here are the calculated total moment numbers, same order: 0.00; 0.00 (μB/f.u.).
Here are the calculated energy relative to the elements, uncorrected numbers, same order: -12.971; -14.389 (kcal/mol of atoms).